(1)
First-principles (PBE) data for a geometry-optimized Er5PuTl6 structure, as listed in Alexandria via LeMat-Bulk.

Cell: 9.2509 9.2509 5.3396 Å, 106.74 106.74 119.95°
Last column: nearest neighbours and their distance in Å.
Positions (direct):
Er1 0.0000 0.0000 0.0000  8 Tl 3.22-3.29
Er2 0.1695 0.8305 0.5000  8 Tl 3.22-3.26
Er3 0.3408 0.6592 0.0000  8 Tl 3.23-3.30
Er4 0.6592 0.3408 0.0000  8 Tl 3.23-3.30
Er5 0.8305 0.1695 0.5000  8 Tl 3.22-3.26
Pu1 0.5000 0.5000 0.5000  8 Tl 3.33-3.34, 4 Er 3.69
Tl1 0.0742 0.4138 0.2443  7 Er 3.22-3.30, 1 Pu 3.34
Tl2 0.2376 0.2376 0.7378  6 Er 3.22-3.26, 2 Pu 3.33, 1 Tl 3.60
Tl3 0.4138 0.0742 0.2443  7 Er 3.22-3.30, 1 Pu 3.34
Tl4 0.5862 0.9258 0.7557  7 Er 3.22-3.30, 1 Pu 3.34
Tl5 0.7624 0.7624 0.2622  6 Er 3.22-3.26, 2 Pu 3.33, 1 Tl 3.60
Tl6 0.9258 0.5862 0.7557  7 Er 3.22-3.30, 1 Pu 3.34

Calculated values
Energy of formation from the pure elements, eV/atom: -0.254
Space-group type: C2/m (12)

=====

(2)
First-principles (PBE) data for a geometry-optimized Tb2Pm3TmBi6 structure, as listed in Alexandria via LeMat-Bulk.

Cell: 10.1156 10.1156 9.0483 Å, 102.82 102.82 25.87°
Last column: nearest neighbours and their distance in Å.
Positions (direct):
Tb1 0.1663 0.1663 0.3330  6 Bi 3.18
Tb2 0.8337 0.8337 0.6670  6 Bi 3.18
Pm1 0.1673 0.1673 0.8334  6 Bi 3.22-3.24
Pm2 0.5000 0.5000 0.5000  6 Bi 3.23-3.24
Pm3 0.8327 0.8327 0.1666  6 Bi 3.22-3.24
Tm1 0.5000 0.5000 0.0000  6 Bi 3.15-3.16
Bi1 0.0009 0.0009 0.2436  2 Tm 3.16, 1 Tb 3.18, 3 Pm 3.23-3.24
Bi2 0.3320 0.3320 0.4200  3 Tb 3.18, 3 Pm 3.22-3.23
Bi3 0.3359 0.3359 0.9143  1 Tm 3.15, 2 Tb 3.18, 3 Pm 3.23-3.24
Bi4 0.6641 0.6641 0.0857  1 Tm 3.15, 2 Tb 3.18, 3 Pm 3.23-3.24
Bi5 0.6680 0.6680 0.5800  3 Tb 3.18, 3 Pm 3.22-3.23
Bi6 0.9991 0.9991 0.7564  2 Tm 3.16, 1 Tb 3.18, 3 Pm 3.23-3.24

Calculated values
Energy of formation from the pure elements, eV/atom: -0.892
Space-group type: C2/m (12)

=====

(3)
First-principles (PBE) data for a geometry-optimized GaCuSi structure, as listed in Alexandria via LeMat-Bulk.

Cell: 3.7269 4.6140 5.9649 Å, 80.90 71.94 89.89°
Last column: nearest neighbours and their distance in Å.
Positions (direct):
Ga1 0.0000 0.0000 0.0000  2 Cu 2.67-2.68, 2 Ga 2.68-2.69, 2 Si 2.89
Ga2 0.3702 0.4993 0.9983  2 Si 2.59-2.60, 2 Cu 2.64, 2 Ga 2.68-2.69
Cu1 0.4594 0.1499 0.3712  3 Si 2.31-2.49
Cu2 0.8337 0.8473 0.6272  3 Si 2.31-2.48
Si1 0.4231 0.6473 0.3890  3 Cu 2.31-2.48, 2 Si 2.52
Si2 0.8148 0.3504 0.6082  3 Cu 2.31-2.49, 2 Si 2.52

Calculated values
Uncorrected formation energy, kJ/mol of atoms: 7
Space-group type: P1 (1)

=====

(4)
First-principles (PBE) data for a geometry-optimized TbSmRuAu structure, as listed in Alexandria via LeMat-Bulk.

Cell: 3.4777 3.4777 7.3832 Å, 90.00 90.00 90.00°
Last column: nearest neighbours and their distance in Å.
Positions (direct):
Tb1 0.0000 0.0000 0.0000  4 Ru 2.97, 4 Au 3.12
Sm1 0.0000 0.0000 0.5385  4 Ru 3.01, 4 Au 3.21
Ru1 0.5000 0.5000 0.7745  4 Tb 2.97, 4 Sm 3.01
Au1 0.5000 0.5000 0.2596  4 Tb 3.12, 4 Sm 3.21, 4 Au 3.48

Calculated values
Energy above the most stable polymorph in this dataset, meV/atom: 0
Energy of formation from the pure elements, eV/atom: -0.586
Space-group type: P4mm (99)

=====

Question: Which formula does entry 2 have?
Answer: Tb2Pm3TmBi6